This record from Alexandria describes a relaxed structure of Rb2CeCoO4. The functional is GGA+U.

Unit cell a=6.215 b=6.215 c=8.296 alpha=90.00 beta=90.00 gamma=90.00
Space group I-4 (No. 82)
Symmetry-distinct sites (fractional):
1 Rb 0.000 0.000 0.000 (multiplicity 2)
2 Rb 0.000 0.500 0.250 (multiplicity 2)
3 Ce 0.000 0.000 0.500 (multiplicity 2)
4 Co 0.000 0.500 0.750 (multiplicity 2)
5 O 0.140 0.743 0.633 (multiplicity 8)

Computed properties:
- total energy (eV/atom) = -6.060
- calculated density (Mg/m³) = 4.5